The following is a DFT calculation (GGA-PBEsol) of a geometry-optimized Cr2MoSe structure.

Crystal system: orthorhombic
Density of states at the Fermi level (states/eV per cell): 4.23
Final energy (eV for the cell shown): -35.108
Symmetry: Immm (71)
Spin magnetization (μB per atom): 0.000
Formation energy (no corrections) (eV/atom): 0.249

Unit cell a=3.0154 b=4.0638 c=4.9397 alpha=114.29 beta=107.77 gamma=90.00
Closest atoms and distances in Å follow each position.
Element x y z (fractional)
Mo  0.5000  0.0000  0.0000  4 Se 2.53, 4 Cr 2.65
Cr  0.2574  0.2574  0.5149  4 Cr 2.53, 2 Se 2.55, 2 Mo 2.65
Se  0.0000  0.5000  0.0000  4 Mo 2.53, 4 Cr 2.55
Cr  0.7426  0.7426  0.4851  4 Cr 2.53, 2 Se 2.55, 2 Mo 2.65

***

The following is a DFT calculation (GGA-PBEsol) of a geometry-optimized LiMgPb2 structure.

Crystal system: monoclinic
Formation energy from the elements (meV per atom): -161
Density of states at the Fermi level (states/eV per cell): 1.51
Final energy (eV for the cell shown): -12.327
Symmetry: C2/m (12)
Spin magnetization (μB per atom): 0.000

Unit cell a=3.4557 b=5.1185 c=5.9232 alpha=101.36 beta=90.00 gamma=109.73
Closest atoms and distances in Å follow each position.
Element x y z (fractional)
Pb  0.2495  0.4991  0.2435  3 Li 3.06-3.07, 3 Mg 3.10, 2 Pb 3.36
Li  0.5000  0.0000  0.0000  6 Pb 3.06-3.07
Mg  0.0000  0.0000  0.5000  6 Pb 3.10, 4 Li 3.43, 2 Mg 3.46
Pb  0.7505  0.5009  0.7565  3 Li 3.06-3.07, 3 Mg 3.10, 2 Pb 3.36

***

The following is a DFT calculation (GGA-PBEsol) of a geometry-optimized Sc2TiClO structure.

Crystal system: tetragonal
Density of states at the Fermi level (states/eV per cell): 4.19
Final energy (eV for the cell shown): -31.482
Symmetry: P4/mmm (123)
Spin magnetization (μB per atom): 0.228
Formation energy (no corrections) (eV/atom): -0.539

Unit cell a=3.7011 b=5.2910 c=5.2910 alpha=90.00 beta=90.00 gamma=90.00
Closest atoms and distances in Å follow each position.
Element x y z (fractional)
Sc  0.0000  0.5000  0.0000  2 Ti 2.65
Ti  0.0000  0.0000  0.0000  2 O 1.85
Cl  0.5000  0.5000  0.5000  8 Sc 3.23
O  0.5000  0.0000  0.0000  2 Ti 1.85
Sc  0.0000  0.0000  0.5000  2 Ti 2.65

***

The following is a DFT calculation (GGA-PBEsol) of a geometry-optimized Fe3Co5 structure.

Crystal system: orthorhombic
Formation energy from the elements (meV per atom): 36
Density of states at the Fermi level (states/eV per cell): 8.22
Final energy (eV for the cell shown): -65.285
Symmetry: Imm2 (44)
Spin magnetization (μB per atom): 2.047

Unit cell a=2.7839 b=3.9271 c=8.2504 alpha=103.77 beta=99.71 gamma=90.00
Closest atoms and distances in Å follow each position.
Element x y z (fractional)
Co  0.1233  0.6233  0.2466  6 Fe 2.41-2.42, 2 Co 2.45
Co  0.0014  0.0014  0.0027  6 Fe 2.40-2.41, 2 Co 2.43
Fe  0.6256  0.1256  0.2512  6 Co 2.40-2.41, 2 Fe 2.42
Co  0.7507  0.7507  0.5015  4 Fe 2.41, 4 Co 2.41-2.45
Fe  0.4980  0.4980  0.9960  8 Co 2.39-2.42
Co  0.8746  0.3746  0.7492  4 Fe 2.39-2.40, 4 Co 2.41
Co  0.3753  0.8753  0.7507  8 Co 2.41-2.43
Fe  0.2510  0.2510  0.5020  6 Co 2.40-2.41, 2 Fe 2.42

***

The following is a DFT calculation (GGA-PBEsol) of a geometry-optimized Rb2BSe2 structure.

Crystal system: tetragonal
Density of states at the Fermi level (states/eV per cell): 7.25
Final energy (eV for the cell shown): -31.687
Symmetry: P4/mbm (127)
Spin magnetization (μB per atom): 0.000
Formation energy (no corrections) (eV/atom): 0.185

Unit cell a=5.4869 b=6.6774 c=6.6774 alpha=90.00 beta=90.00 gamma=90.00
Closest atoms and distances in Å follow each position.
Element x y z (fractional)
Se  0.0000  0.1879  0.3121  2 B 2.43
Rb  0.5000  0.3394  0.1606  1 Rb 3.03, 2 Se 3.09
Se  0.0000  0.3121  0.8121  2 B 2.43
Se  0.0000  0.8121  0.6879  2 B 2.43
Rb  0.5000  0.6606  0.8394  1 Rb 3.03, 2 Se 3.09
Rb  0.5000  0.1606  0.6606  1 Rb 3.03, 2 Se 3.09
B  0.0000  0.5000  0.5000  4 Se 2.43
Se  0.0000  0.6879  0.1879  2 B 2.43
Rb  0.5000  0.8394  0.3394  1 Rb 3.03, 2 Se 3.09
B  0.0000  0.0000  0.0000  4 Se 2.43

***

The following is a DFT calculation (GGA-PBEsol) of a geometry-optimized SrTaI2 structure.

Crystal system: cubic
Density of states at the Fermi level (states/eV per cell): 3.98
Final energy (eV for the cell shown): -17.012
Symmetry: Fm-3m (225)
Spin magnetization (μB per atom): 0.144
Formation energy (no corrections) (eV/atom): 0.228

Unit cell a=5.2219 b=5.2219 c=5.2219 alpha=60.00 beta=60.00 gamma=60.00
Closest atoms and distances in Å follow each position.
Element x y z (fractional)
Ta  0.5000  0.5000  0.5000  8 I 3.20
Sr  0.0000  0.0000  0.0000  8 I 3.20
I  0.2500  0.2500  0.2500  4 Ta 3.20, 4 Sr 3.20
I  0.7500  0.7500  0.7500  4 Sr 3.20, 4 Ta 3.20

***

The following is a DFT calculation (GGA-PBEsol) of a geometry-optimized KReSb2 structure.

Crystal system: orthorhombic
Density of states at the Fermi level (states/eV per cell): 3.80
Final energy (eV for the cell shown): -19.889
Symmetry: Cmmm (65)
Distance to the lowest polymorph of the same formula (meV/atom): 666
Spin magnetization (μB per atom): 0.225
Formation energy (no corrections) (eV/atom): 0.923

Unit cell a=3.2868 b=5.2344 c=5.2344 alpha=104.52 beta=90.00 gamma=90.00
Closest atoms and distances in Å follow each position.
Element x y z (fractional)
Sb  0.0000  0.5000  0.0000  4 K 3.09, 4 Re 3.09, 4 Sb 3.20-3.29
K  0.5000  0.0000  0.0000  8 Sb 3.09, 2 Re 3.20, 2 K 3.29
Sb  0.0000  0.0000  0.5000  4 Re 3.09, 4 K 3.09, 4 Sb 3.20-3.29
Re  0.5000  0.5000  0.5000  8 Sb 3.09, 2 K 3.20, 2 Re 3.29

***

The following is a DFT calculation (GGA-PBEsol) of a geometry-optimized YScAu2 structure.

Crystal system: tetragonal
Formation energy from the elements (meV per atom): -820
Density of states at the Fermi level (states/eV per cell): 2.38
Final energy (eV for the cell shown): -24.557
Symmetry: P4/mmm (123)
Distance to the lowest polymorph of the same formula (meV/atom): 16
Spin magnetization (μB per atom): 0.000

Unit cell a=3.4752 b=4.8693 c=4.8693 alpha=90.00 beta=90.00 gamma=90.00
Closest atoms and distances in Å follow each position.
Element x y z (fractional)
Au  0.0000  0.5000  0.0000  4 Sc 2.99, 4 Y 2.99
Sc  0.5000  0.5000  0.5000  8 Au 2.99
Y  0.5000  0.0000  0.0000  8 Au 2.99
Au  0.0000  0.0000  0.5000  4 Sc 2.99, 4 Y 2.99

***

The following is a DFT calculation (GGA-PBEsol) of a geometry-optimized TlC2 structure.

Crystal system: cubic
Formation energy from the elements (meV per atom): 3287
Density of states at the Fermi level (states/eV per cell): 2.76
Final energy (eV for the cell shown): -24.113
Symmetry: Fd-3m (227)
Distance to the lowest polymorph of the same formula (meV/atom): 2434
Spin magnetization (μB per atom): 0.000

Unit cell a=4.8087 b=4.8087 c=4.8087 alpha=60.00 beta=60.00 gamma=60.00
Closest atoms and distances in Å follow each position.
Element x y z (fractional)
C  0.6250  0.1250  0.1250  6 C 2.40
C  0.1250  0.6250  0.1250  6 C 2.40
C  0.1250  0.1250  0.1250  6 C 2.40
Tl  0.5000  0.5000  0.5000  12 C 2.82, 4 Tl 2.94
C  0.1250  0.1250  0.6250  6 C 2.40
Tl  0.7500  0.7500  0.7500  12 C 2.82, 4 Tl 2.94

***

The following is a DFT calculation (GGA-PBEsol) of a geometry-optimized Mn3ZnIn structure.

Crystal system: cubic
Formation energy from the elements (meV per atom): 928
Density of states at the Fermi level (states/eV per cell): 3.02
Final energy (eV for the cell shown): -29.208
Symmetry: Pm-3m (221)
Spin magnetization (μB per atom): 2.078

Unit cell a=4.4866 b=4.4866 c=4.4866 alpha=90.00 beta=90.00 gamma=90.00
Closest atoms and distances in Å follow each position.
Element x y z (fractional)
Zn  0.0000  0.0000  0.0000  6 Mn 2.24
Mn  0.5000  0.0000  0.0000  2 Zn 2.24
Mn  0.0000  0.0000  0.5000  2 Zn 2.24
Mn  0.0000  0.5000  0.0000  2 Zn 2.24
In  0.5000  0.5000  0.5000  12 Mn 3.17

***

The following is a DFT calculation (GGA-PBEsol) of a geometry-optimized BaCa2Sn2 structure.

Crystal system: tetragonal
Formation energy from the elements (meV per atom): -593
Density of states at the Fermi level (states/eV per cell): 4.45
Final energy (eV for the cell shown): -17.900
Symmetry: I4/mmm (139)
Distance to the lowest polymorph of the same formula (meV/atom): 48
Spin magnetization (μB per atom): 0.001

Unit cell a=5.0909 b=5.0909 c=7.6385 alpha=109.47 beta=109.47 gamma=90.00
Closest atoms and distances in Å follow each position.
Element x y z (fractional)
Sn  0.6065  0.6065  0.2131  1 Sn 2.87, 4 Ca 3.20
Ca  0.2500  0.7500  0.5000  4 Sn 3.20
Ba  0.0000  0.0000  0.0000  8 Sn 3.88, 8 Ca 4.22
Ca  0.7500  0.2500  0.5000  4 Sn 3.20
Sn  0.3935  0.3935  0.7869  1 Sn 2.87, 4 Ca 3.20

***

The following is a DFT calculation (GGA-PBEsol) of a geometry-optimized SrIn2Pt structure.

Crystal system: orthorhombic
Formation energy from the elements (meV per atom): -691
Density of states at the Fermi level (states/eV per cell): 3.35
Final energy (eV for the cell shown): -35.067
Symmetry: Cmcm (63)
Spin magnetization (μB per atom): 0.000

Unit cell a=4.4584 b=5.8487 c=7.8571 alpha=90.00 beta=90.00 gamma=112.40
Closest atoms and distances in Å follow each position.
Element x y z (fractional)
Sr  0.0631  0.1263  0.7500  3 Pt 3.06-3.24, 4 In 3.40
In  0.6495  0.2990  0.0538  3 Pt 2.78-2.81, 1 In 3.08
Sr  0.9369  0.8737  0.2500  3 Pt 3.06-3.24, 4 In 3.40
In  0.3505  0.7010  0.5538  3 Pt 2.78-2.81, 1 In 3.08
Pt  0.2195  0.4390  0.2500  6 In 2.78-2.81, 1 Sr 3.06
In  0.6495  0.2990  0.4462  3 Pt 2.78-2.81, 1 In 3.08
Pt  0.7805  0.5610  0.7500  6 In 2.78-2.81, 1 Sr 3.06
In  0.3505  0.7010  0.9462  3 Pt 2.78-2.81, 1 In 3.08